# 1
Below is a relaxed structure of RbBi3B4O12, with properties calculated at the PBE level.

The space group is R32 (No. 155, hexagonal axes) and the conventional cell measures 10.3942, 10.3942 and 9.2214 Å, with angles of 90.00, 90.00 and 120.00 degrees. The distinct sites, in fractional coordinates, are Rb at (0.0000, 0.0000, 0.0000), Bi at (0.0000, 0.5335, 0.0000), B at (0.0000, 0.0000, 0.5000), B at (0.0000, 0.4631, 0.5000), O at (0.0000, 0.5991, 0.5000), O at (0.0000, 0.8660, 0.5000) and O at (0.0076, 0.2044, 0.7895).

As for the total DFT energy (no corrections): -404.88 eV per cell. The calculation puts the formation energy (no corrections) at -1.81 eV per atom.



# 2
Below is a relaxed structure of Ca4ZnGa3, with properties calculated at the PBE level.

The space group is Pmm2 (No. 25) and the conventional cell measures 3.9676, 4.5168 and 11.6016 Å, with angles of 90.00, 90.00 and 90.00 degrees. The distinct sites, in fractional coordinates, are Ca at (0.0000, 0.0000, 0.0000), Ca at (0.0000, 0.5000, 0.2938), Ca at (0.5000, 0.0000, 0.4991), Ca at (0.5000, 0.5000, 0.7956), Zn at (0.5000, 0.0000, 0.2092), Ga at (0.0000, 0.0000, 0.7153), Ga at (0.0000, 0.5000, 0.5789) and Ga at (0.5000, 0.5000, 0.0811).

As for the total DFT energy (no corrections): -21.62 eV per cell.



# 3
Below is a relaxed structure of CuBiTe, with properties calculated at the PBE level.

The space group is I4mm (No. 107) and the conventional cell measures 3.6427, 3.6427 and 11.7538 Å, with angles of 90.00, 90.00 and 90.00 degrees. The distinct sites, in fractional coordinates, are Cu at (0.0000, 0.0000, 0.0000), Bi at (0.0000, 0.0000, 0.6734) and Te at (0.0000, 0.0000, 0.4231).

As for the total DFT energy (no corrections): -21.08 eV per cell. The calculation puts the formation energy (no corrections) at 0.19 eV per atom.



# 4
Below is a relaxed structure of PrMgAlAg2, with properties calculated at the PBE level.

The space group is I-4m2 (No. 119) and the conventional cell measures 4.3000, 4.3000 and 12.1786 Å, with angles of 90.00, 90.00 and 90.00 degrees. The distinct sites, in fractional coordinates, are Pr at (0.0000, 0.0000, 0.0000), Mg at (0.0000, 0.5000, 0.7500), Al at (0.0000, 0.5000, 0.2500) and Ag at (0.0000, 0.0000, 0.3868).

As for the total DFT energy (no corrections): -34.15 eV per cell.



# 5
Below is a relaxed structure of SmY2Cd3, with properties calculated at the PBE level.

The space group is Cmmm (No. 65) and the conventional cell measures 5.3157, 15.9709 and 7.5973 Å, with angles of 90.00, 90.00 and 90.00 degrees. The distinct sites, in fractional coordinates, are Sm at (0.0000, 0.1660, 0.0000), Y at (0.0000, 0.1680, 0.5000), Y at (0.0000, 0.5000, 0.0000), Y at (0.0000, 0.5000, 0.5000), Cd at (0.0000, 0.0000, 0.2557) and Cd at (0.0000, 0.3349, 0.2554).

As for the total DFT energy (no corrections): -89.71 eV per cell.



# 6
Below is a relaxed structure of InBiCl6, with properties calculated at the PBE level.

The space group is R-3 (No. 148, hexagonal axes) and the conventional cell measures 6.6184, 6.6184 and 18.0248 Å, with angles of 90.00, 90.00 and 120.00 degrees. The distinct sites, in fractional coordinates, are In at (0.0000, 0.0000, 0.0000), Bi at (0.0000, 0.0000, 0.5000) and Cl at (0.0034, 0.3209, 0.9193).

As for the total DFT energy (no corrections): -76.76 eV per cell. The calculation puts the formation energy (no corrections) at -0.99 eV per atom.



# 7
Below is a relaxed structure of PuSnH2, with properties calculated at the PBE level.

The space group is Cmcm (No. 63) and the conventional cell measures 3.6032, 12.1087 and 5.8121 Å, with angles of 90.00, 90.00 and 90.00 degrees. The distinct sites, in fractional coordinates, are Pu at (0.0000, 0.2081, 0.2500), Sn at (0.0000, 0.0585, 0.7500) and H at (0.0000, 0.3176, 0.5422).

As for the total DFT energy (no corrections): -103.37 eV per cell.



# 8
Below is a relaxed structure of Pm4TlSe2S, with properties calculated at the PBE level.

The space group is P2/m (No. 10) and the conventional cell measures 7.3931, 4.1729 and 7.3967 Å, with angles of 90.00, 108.79 and 90.00 degrees. The distinct sites, in fractional coordinates, are Pm at (0.2360, 0.0000, 0.2423), Pm at (0.2369, 0.5000, 0.7430), Tl at (0.5000, 0.5000, 0.5000), Se at (0.0000, 0.5000, 0.0000), Se at (0.5000, 0.0000, 0.0000) and S at (0.0000, 0.0000, 0.5000).

As for the total DFT energy (no corrections): -44.28 eV per cell. The calculation puts the formation energy (no corrections) at -1.48 eV per atom.



# 9
Below is a relaxed structure of Tb3CoGe2, with properties calculated at the PBE level.

The space group is Pnma (No. 62) and the conventional cell measures 11.5937, 4.1462 and 11.1926 Å, with angles of 90.00, 90.00 and 90.00 degrees. The distinct sites, in fractional coordinates, are Tb at (0.0549, 0.2500, 0.1299), Tb at (0.1202, 0.7500, 0.5548), Tb at (0.2248, 0.2500, 0.7977), Co at (0.1314, 0.2500, 0.3682), Ge at (0.0172, 0.7500, 0.3157) and Ge at (0.1928, 0.7500, 0.9963).

As for the total DFT energy (no corrections): -138.28 eV per cell.



# 10
Below is a relaxed structure of KHg2W, with properties calculated at the PBE level.

The space group is R-3m (No. 166, hexagonal axes) and the conventional cell measures 3.0578, 3.0578 and 32.6043 Å, with angles of 90.00, 90.00 and 120.00 degrees. The distinct sites, in fractional coordinates, are K at (0.0000, 0.0000, 0.0000), Hg at (0.0000, 0.0000, 0.2411) and W at (0.0000, 0.0000, 0.5000).

As for the total DFT energy (no corrections): -35.22 eV per cell.



# 11
Below is a relaxed structure of Sc2RuCl, with properties calculated at the PBE level.

The space group is F-43m (No. 216) and the conventional cell measures 6.6377, 6.6377 and 6.6377 Å, with angles of 90.00, 90.00 and 90.00 degrees. The distinct sites, in fractional coordinates, are Sc at (0.0000, 0.0000, 0.0000), Sc at (0.2500, 0.2500, 0.2500), Ru at (0.2500, 0.2500, 0.7500) and Cl at (0.0000, 0.0000, 0.5000).

As for the total DFT energy (no corrections): -91.96 eV per cell. The calculation puts the formation energy (no corrections) at 0.20 eV per atom.



# 12
Below is a relaxed structure of BaGaSi6Pt2, with properties calculated at the PBE level.

The space group is R-3m (No. 166, hexagonal axes) and the conventional cell measures 4.9054, 4.9054 and 32.5696 Å, with angles of 90.00, 90.00 and 120.00 degrees. The distinct sites, in fractional coordinates, are Ba at (0.0000, 0.0000, 0.0000), Ga at (0.0000, 0.0000, 0.5000), Si at (0.0049, 0.5025, 0.7669) and Pt at (0.0000, 0.0000, 0.2599).

As for the total DFT energy (no corrections): -147.47 eV per cell. The calculation puts the formation energy (no corrections) at 0.04 eV per atom.



# 13
Below is a relaxed structure of VFe3Bi, with properties calculated at the PBE level.

The space group is Pm-3m (No. 221) and the conventional cell measures 4.8200, 4.8200 and 4.8200 Å, with angles of 90.00, 90.00 and 90.00 degrees. The distinct sites, in fractional coordinates, are V at (0.0000, 0.0000, 0.0000), Fe at (0.0000, 0.5000, 0.5000) and Bi at (0.5000, 0.5000, 0.5000).

As for the total DFT energy (no corrections): -28.86 eV per cell.